A relaxed TmSnPd3 crystal. Source: Alexandria, functional PBE.

a b c (Å): 4.9495 4.9295 7.9143
angles (deg): 90.00 71.78 90.00
Element x y z (fractional)
Tm: 0.4694 0.7500 0.7096
Tm: 0.1790 0.2500 0.2904
Pd: 0.0717 0.7500 0.5050
Pd: 0.5767 0.2500 0.4950
Pd: 0.7729 0.2500 0.1025
Pd: 0.8754 0.7500 0.8975
Pd: 0.3775 0.2500 0.8934
Pd: 0.2709 0.7500 0.1066
Sn: 0.9613 0.2500 0.7257
Sn: 0.6870 0.7500 0.2743

Calculated values
- excess energy over the best structure of this formula in the dataset (meV/atom) = 0
- density of states at the Fermi level (states/eV per cell) = 3.175
- DFT total energy (eV per cell) = -56.28


A relaxed Tm3Sn2Pd crystal. Source: Alexandria, functional PBE.

a b c (Å): 4.4994 11.3144 11.9990
angles (deg): 90.00 90.00 90.00
Element x y z (fractional)
Tm: 0.2500 0.7984 0.7333
Tm: 0.7500 0.8711 0.4480
Tm: 0.7500 0.6289 0.9480
Tm: 0.2500 0.0584 0.8731
Tm: 0.2500 0.4416 0.3731
Tm: 0.2500 0.1289 0.5520
Tm: 0.2500 0.7016 0.2333
Tm: 0.7500 0.9416 0.1269
Tm: 0.7500 0.2984 0.7667
Tm: 0.2500 0.3711 0.0520
Tm: 0.7500 0.2016 0.2667
Tm: 0.7500 0.5584 0.6269
Sn: 0.2500 0.9938 0.3155
Sn: 0.2500 0.5062 0.8155
Sn: 0.7500 0.4938 0.1845
Sn: 0.7500 0.1895 0.0003
Sn: 0.7500 0.0062 0.6845
Sn: 0.2500 0.8105 0.9997
Sn: 0.2500 0.6895 0.4997
Sn: 0.7500 0.3105 0.5003
Pd: 0.2500 0.3742 0.6228
Pd: 0.2500 0.1258 0.1228
Pd: 0.7500 0.6258 0.3772
Pd: 0.7500 0.8742 0.8772

Calculated values
- density of states at the Fermi level (states/eV per cell) = 13.726
- DFT total energy (eV per cell) = -125.06


A relaxed TmSn2Pd crystal. Source: Alexandria, functional PBE.

a b c (Å): 4.5894 4.5894 9.1487
angles (deg): 104.53 104.53 90.00
Element x y z (fractional)
Sn: 0.3436 0.3436 0.6872
Sn: 0.0000 0.5000 0.0000
Sn: 0.5000 0.0000 0.0000
Sn: 0.6564 0.6564 0.3128
Pd: 0.2500 0.7500 0.5000
Pd: 0.7500 0.2500 0.5000
Tm: 0.8679 0.8679 0.7358
Tm: 0.1321 0.1321 0.2642

Calculated values
- density of states at the Fermi level (states/eV per cell) = 4.155
- DFT total energy (eV per cell) = -40.54


A relaxed Tm3Sn3Pd2 crystal. Source: Alexandria, functional PBE.

a b c (Å): 5.8380 8.3751 15.2167
angles (deg): 90.00 90.00 90.00
Element x y z (fractional)
Tm: 0.3772 0.9680 0.1122
Tm: 0.8772 0.5320 0.8878
Tm: 0.8625 0.8266 0.2500
Tm: 0.6228 0.0320 0.8878
Tm: 0.3772 0.9680 0.3878
Tm: 0.1228 0.4680 0.3878
Tm: 0.8772 0.5320 0.6122
Tm: 0.1375 0.1734 0.7500
Tm: 0.1228 0.4680 0.1122
Tm: 0.3625 0.6734 0.7500
Tm: 0.6375 0.3266 0.2500
Tm: 0.6228 0.0320 0.6122
Pd: 0.3713 0.4177 0.8861
Pd: 0.6287 0.5823 0.3861
Pd: 0.8713 0.0823 0.3861
Pd: 0.3713 0.4177 0.6139
Pd: 0.1287 0.9177 0.8861
Pd: 0.8713 0.0823 0.1139
Pd: 0.6287 0.5823 0.1139
Pd: 0.1287 0.9177 0.6139
Sn: 0.9005 0.7992 0.0361
Sn: 0.9005 0.7992 0.4639
Sn: 0.6338 0.3121 0.7500
Sn: 0.1338 0.1879 0.2500
Sn: 0.5995 0.2992 0.0361
Sn: 0.3662 0.6879 0.2500
Sn: 0.4005 0.7008 0.5361
Sn: 0.4005 0.7008 0.9639
Sn: 0.8662 0.8121 0.7500
Sn: 0.0995 0.2008 0.5361
Sn: 0.0995 0.2008 0.9639
Sn: 0.5995 0.2992 0.4639

Calculated values
- density of states at the Fermi level (states/eV per cell) = 13.408
- DFT total energy (eV per cell) = -168.92


A relaxed TmSn4Pd15 crystal. Source: Alexandria, functional PBE.

a b c (Å): 4.0552 4.0552 20.2219
angles (deg): 90.00 90.00 90.00
Element x y z (fractional)
Sn: 0.0000 0.0000 0.4005
Sn: 0.0000 0.0000 0.2015
Sn: 0.0000 0.0000 0.7985
Sn: 0.0000 0.0000 0.5995
Pd: 0.5000 0.5000 0.7979
Pd: 0.5000 0.0000 0.3009
Pd: 0.5000 0.0000 0.1028
Pd: 0.5000 0.0000 0.8972
Pd: 0.5000 0.5000 0.4004
Pd: 0.5000 0.5000 0.2021
Pd: 0.5000 0.0000 0.6991
Pd: 0.0000 0.5000 0.8972
Pd: 0.5000 0.0000 0.5000
Pd: 0.5000 0.5000 0.0000
Pd: 0.5000 0.5000 0.5996
Pd: 0.0000 0.5000 0.3009
Pd: 0.0000 0.5000 0.6991
Pd: 0.0000 0.5000 0.1028
Pd: 0.0000 0.5000 0.5000
Tm: 0.0000 0.0000 0.0000

Calculated values
- density of states at the Fermi level (states/eV per cell) = 5.259
- DFT total energy (eV per cell) = -110.14


A relaxed Tm3SnPd6 crystal. Source: Alexandria, functional PBE.

a b c (Å): 5.0209 9.0682 9.0682
angles (deg): 106.19 90.00 90.00
Element x y z (fractional)
Tm: 0.1509 0.7063 0.9116
Tm: 0.6509 0.9116 0.7063
Tm: 0.1509 0.0884 0.2937
Tm: 0.6509 0.2937 0.0884
Tm: 0.5744 0.6143 0.3857
Tm: 0.0744 0.3857 0.6143
Pd: 0.6837 0.5519 0.9732
Pd: 0.5932 0.2633 0.7367
Pd: 0.0813 0.6872 0.5828
Pd: 0.3777 0.0074 0.9926
Pd: 0.1837 0.9732 0.5519
Pd: 0.1837 0.4481 0.0268
Pd: 0.5813 0.5828 0.6872
Pd: 0.6837 0.0268 0.4481
Pd: 0.8777 0.9926 0.0074
Pd: 0.0813 0.4172 0.3128
Pd: 0.5813 0.3128 0.4172
Pd: 0.0932 0.7367 0.2633
Sn: 0.6082 0.8303 0.1697
Sn: 0.1082 0.1697 0.8303

Calculated values
- density of states at the Fermi level (states/eV per cell) = 7.522
- DFT total energy (eV per cell) = -112.17


A relaxed Tm2Sn2Pd5 crystal. Source: Alexandria, functional PBE.

a b c (Å): 7.2001 6.9181 9.0337
angles (deg): 112.51 113.49 90.00
Element x y z (fractional)
Pd: 0.6833 0.7570 0.9933
Pd: 0.4817 0.5378 0.3231
Pd: 0.5183 0.2147 0.6769
Pd: 0.6586 0.7147 0.6769
Pd: 0.1900 0.2637 0.0067
Pd: 0.8100 0.2570 0.9933
Pd: 0.3167 0.7637 0.0067
Pd: 0.0582 0.0979 0.5000
Pd: 0.3414 0.0378 0.3231
Pd: 0.9418 0.5979 0.5000
Sn: 0.7197 0.9280 0.5000
Sn: 0.0000 0.9408 0.0000
Sn: 0.2803 0.4280 0.5000
Sn: 0.5000 0.4408 0.0000
Tm: 0.9437 0.4281 0.7600
Tm: 0.6837 0.1681 0.2400
Tm: 0.0563 0.6681 0.2400
Tm: 0.3163 0.9281 0.7600

Calculated values
- density of states at the Fermi level (states/eV per cell) = 8.002
- DFT total energy (eV per cell) = -97.64


A relaxed TmSnPd3 crystal. Source: Alexandria, functional PBE.

a b c (Å): 4.6359 5.7622 7.2398
angles (deg): 90.00 90.00 90.00
Element x y z (fractional)
Pd: 0.0000 0.2658 0.2554
Pd: 0.0000 0.7342 0.2554
Pd: 0.5000 0.7658 0.7446
Pd: 0.5000 0.2342 0.7446
Pd: 0.5000 0.5000 0.0798
Pd: 0.0000 0.0000 0.9202
Tm: 0.5000 0.0000 0.1487
Tm: 0.0000 0.5000 0.8513
Sn: 0.5000 0.5000 0.4425
Sn: 0.0000 0.0000 0.5575

Calculated values
- excess energy over the best structure of this formula in the dataset (meV/atom) = 47
- density of states at the Fermi level (states/eV per cell) = 5.425
- DFT total energy (eV per cell) = -55.80


A relaxed Tm3Sn2Pd8 crystal. Source: Alexandria, functional PBE.

a b c (Å): 5.4693 5.4693 10.4401
angles (deg): 74.82 74.82 60.00
Element x y z (fractional)
Pd: 0.7287 0.7287 0.3225
Pd: 0.7287 0.2201 0.3225
Pd: 0.7799 0.2713 0.6775
Pd: 0.2840 0.2840 0.1481
Pd: 0.2713 0.7799 0.6775
Pd: 0.2201 0.7287 0.3225
Pd: 0.2713 0.2713 0.6775
Pd: 0.7160 0.7160 0.8519
Sn: 0.3702 0.3702 0.8895
Sn: 0.6298 0.6298 0.1105
Tm: 0.1917 0.1917 0.4250
Tm: 0.0000 0.0000 0.0000
Tm: 0.8083 0.8083 0.5750

Calculated values
- density of states at the Fermi level (states/eV per cell) = 7.365
- DFT total energy (eV per cell) = -70.81


A relaxed TmSnPd6 crystal. Source: Alexandria, functional PBE.

a b c (Å): 4.8961 4.8961 7.3534
angles (deg): 73.98 73.98 67.86
Element x y z (fractional)
Pd: 0.0629 0.5456 0.2984
Pd: 0.6472 0.6472 0.0606
Pd: 0.5456 0.0629 0.2984
Pd: 0.4544 0.9371 0.7016
Pd: 0.3528 0.3528 0.9394
Pd: 0.9371 0.4544 0.7016
Tm: 0.5000 0.5000 0.5000
Sn: 0.0000 0.0000 0.0000

Calculated values
- excess energy over the best structure of this formula in the dataset (meV/atom) = 323
- density of states at the Fermi level (states/eV per cell) = 4.510
- DFT total energy (eV per cell) = -42.76


A relaxed TmSnPd14 crystal. Source: Alexandria, functional PBE.

a b c (Å): 5.7179 5.7179 7.8818
angles (deg): 90.00 90.00 90.00
Element x y z (fractional)
Sn: 0.3750 0.3750 0.5000
Pd: 0.3750 0.8750 0.5000
Pd: 0.6236 0.1264 0.2465
Pd: 0.1264 0.1264 0.2465
Pd: 0.3750 0.3750 0.0000
Pd: 0.8750 0.8750 0.0000
Pd: 0.6236 0.6236 0.2465
Pd: 0.1264 0.6236 0.2465
Pd: 0.8750 0.3750 0.5000
Pd: 0.1264 0.1264 0.7535
Pd: 0.8750 0.3750 0.0000
Pd: 0.6236 0.6236 0.7535
Pd: 0.6236 0.1264 0.7535
Pd: 0.1264 0.6236 0.7535
Pd: 0.3750 0.8750 0.0000
Tm: 0.8750 0.8750 0.5000

Calculated values
- density of states at the Fermi level (states/eV per cell) = 25.823
- DFT total energy (eV per cell) = -86.58


A relaxed TmSn2Pd7 crystal. Source: Alexandria, functional PBE.

a b c (Å): 4.4187 7.6626 7.6626
angles (deg): 122.41 90.00 90.00
Element x y z (fractional)
Pd: 0.5000 0.0748 0.2889
Pd: 0.5000 0.2889 0.0748
Pd: 0.5000 0.9252 0.7111
Pd: 0.0000 0.2021 0.7979
Pd: 0.5000 0.7111 0.9252
Pd: 0.5000 0.5000 0.5000
Pd: 0.0000 0.7979 0.2021
Tm: 0.0000 0.0000 0.0000
Sn: 0.5000 0.3025 0.6975
Sn: 0.5000 0.6975 0.3025

Calculated values
- excess energy over the best structure of this formula in the dataset (meV/atom) = 347
- density of states at the Fermi level (states/eV per cell) = 3.390
- DFT total energy (eV per cell) = -51.55


Calculated volume / A^3/atom: 18.34 25.45 22.52 23.25 16.63 19.83 20.83 19.34 19.83 19.25 16.11 21.90